La5PmYTm2 (PBE, optimized geometry); space-group type = Cmc2_1; energy = -4.85 eV/atom; formation enthalpy at 0 K = 3.002 kcal/mol of atoms
1.0
2.7478 -10.8632 0.0000
2.7478 10.8632 0.0000
0.0000 0.0000 10.6943
La Pm Y Tm
10 2 2 4
direct
0.9996 0.0004 0.0000 La
0.0004 0.9996 0.5000 La
0.1227 0.8773 0.7495 La
0.2203 0.7797 0.0579 La
0.2214 0.7786 0.4385 La
0.4992 0.5008 0.2498 La
0.5008 0.4992 0.7498 La
0.7786 0.2214 0.9385 La
0.7797 0.2203 0.5579 La
0.8773 0.1227 0.2495 La
0.2855 0.7145 0.7484 Pm
0.7145 0.2855 0.2484 Pm
0.1001 0.8999 0.2495 Y
0.8999 0.1001 0.7495 Y
0.3869 0.6131 0.9960 Tm
0.3878 0.6122 0.5034 Tm
0.6122 0.3878 0.0034 Tm
0.6131 0.3869 0.4960 Tm



LaPmYTm (PBE, optimized geometry); space-group type = Cm; energy = -5.06 eV/atom; ΔE to the lowest computed polymorph = 7.0 meV/atom; formation enthalpy at 0 K = 2.255 kcal/mol of atoms
1.0
12.4781 0.0000 0.0000
0.0000 5.8916 0.0000
-1.1586 0.0000 3.6744
La Pm Y Tm
2 2 2 2
direct
0.0000 0.0000 0.0000 La
0.5000 0.5000 0.0000 La
0.2338 0.5000 0.1847 Pm
0.7338 0.0000 0.1847 Pm
0.2580 0.0000 0.7163 Y
0.7580 0.5000 0.7163 Y
0.4942 0.0000 0.4692 Tm
0.9942 0.5000 0.4692 Tm



La2Pm3Y6Tm (PBE, optimized geometry); space-group type = C2/m; energy = -5.60 eV/atom; formation enthalpy at 0 K = 0.313 kcal/mol of atoms
1.0
3.1338 -5.4270 0.0000
3.1338 5.4270 0.0000
-2.0826 0.0000 11.7307
La Pm Y Tm
2 3 6 1
direct
0.1661 0.8339 0.0000 La
0.8339 0.1661 0.0000 La
0.0000 0.0000 0.5000 Pm
0.3331 0.6669 0.5000 Pm
0.6669 0.3331 0.5000 Pm
0.0843 0.4164 0.7490 Y
0.2517 0.2517 0.2515 Y
0.4164 0.0843 0.7490 Y
0.5836 0.9157 0.2510 Y
0.7483 0.7483 0.7485 Y
0.9157 0.5836 0.2510 Y
0.5000 0.5000 0.0000 Tm



Which of these has the highest energy? La5PmYTm2